(1)
Computed, not measured: ZrCd2Sn2 at its PBEsol-relaxed geometry at the meta-GGA SCAN level of DFT.

a = 8.1808 Å, b = 8.1808 Å, c = 8.1808 Å
α = 152.36°, β = 152.36°, γ = 39.49°
Last column: nearest neighbours and their distance in Å.
Fractional positions:
Zr1 0.0000 0.0000 0.0000  8 Sn 3.12
Cd1 0.2500 0.7500 0.5000  4 Cd 2.76, 4 Sn 3.09
Cd2 0.7500 0.2500 0.5000  4 Cd 2.76, 4 Sn 3.09
Sn1 0.4056 0.4056 0.0000  1 Sn 2.91, 4 Cd 3.09, 4 Zr 3.12
Sn2 0.5944 0.5944 0.0000  1 Sn 2.91, 4 Cd 3.09, 4 Zr 3.12

## Properties
Crystal system = tetragonal
Density of states at the Fermi level = 0.635 states/eV/atom
DFT formation energy = 61 meV/atom
Space group = I4/mmm

---

(2)
Computed, not measured: CrAgRh at its PBEsol-relaxed geometry at the meta-GGA SCAN level of DFT.

a = 7.1980 Å, b = 6.9850 Å, c = 2.6157 Å
α = 84.00°, β = 74.82°, γ = 21.19°
Last column: nearest neighbours and their distance in Å.
Fractional positions:
Cr1 0.0000 0.0000 0.0000  2 Rh 2.44, 4 Cr 2.62
Ag1 0.3274 0.3274 0.6726  6 Ag 2.62-2.76, 2 Cr 2.74, 2 Rh 2.83
Rh1 0.6467 0.6467 0.3533  2 Cr 2.44, 4 Rh 2.62

## Properties
Crystal system = orthorhombic
Density of states at the Fermi level = 0.771 states/eV/atom
DFT formation energy = 394 meV/atom
Space group = Fmm2

---

(3)
Computed, not measured: RbAlBP2HO9 at its PBEsol-relaxed geometry at the meta-GGA SCAN level of DFT.

a = 9.3147 Å, b = 8.4128 Å, c = 9.4229 Å
α = 90.00°, β = 103.95°, γ = 90.00°
Last column: nearest neighbours and their distance in Å.
Fractional positions:
Rb1 0.1886 0.1080 0.0625  10 O 2.90-3.24
Rb2 0.1886 0.3920 0.5625  10 O 2.90-3.24
Rb3 0.8114 0.6080 0.4375  10 O 2.90-3.24
Rb4 0.8114 0.8920 0.9375  10 O 2.90-3.24
Al1 0.2004 0.6542 0.9344  6 O 1.85-2.00
Al2 0.2004 0.8458 0.4344  6 O 1.85-2.00
Al3 0.7996 0.1542 0.5656  6 O 1.85-2.00
Al4 0.7996 0.3458 0.0656  6 O 1.85-2.00
B1 0.3346 0.0521 0.7002  4 O 1.46-1.49
B2 0.3346 0.4479 0.2002  4 O 1.46-1.49
B3 0.6654 0.5521 0.7998  4 O 1.46-1.49
B4 0.6654 0.9479 0.2998  4 O 1.46-1.49
P1 0.0702 0.5633 0.2068  4 O 1.52-1.59
P2 0.0702 0.9367 0.7068  4 O 1.52-1.59
P3 0.4138 0.7366 0.7261  4 O 1.52-1.57
P4 0.4138 0.7634 0.2261  4 O 1.52-1.57
P5 0.5862 0.2366 0.7739  4 O 1.52-1.57
P6 0.5862 0.2634 0.2739  4 O 1.52-1.57
P7 0.9298 0.0633 0.2932  4 O 1.52-1.59
P8 0.9298 0.4367 0.7932  4 O 1.52-1.59
H1 0.3892 0.0604 0.4986  1 O 0.98
H2 0.3892 0.4396 0.9986  1 O 0.98
H3 0.6108 0.5604 0.0014  1 O 0.98
H4 0.6108 0.9396 0.5014  1 O 0.98
O1 0.0790 0.5160 0.8034  1 P 1.52
O2 0.0794 0.6538 0.0685  1 P 1.53
O3 0.0794 0.8462 0.5685  1 P 1.53
O4 0.0790 0.9840 0.3034  1 P 1.52
O5 0.1026 0.6677 0.3442  1 P 1.53
O6 0.1026 0.8323 0.8442  1 P 1.53
O7 0.1913 0.0738 0.7353  1 B 1.46, 1 P 1.59
O8 0.1913 0.4262 0.2353  1 B 1.46, 1 P 1.59
O9 0.3040 0.0359 0.5383  1 H 0.98
O10 0.3040 0.4641 0.0383  1 H 0.98
O11 0.3397 0.7166 0.5649  1 P 1.52
O12 0.3397 0.7834 0.0649  1 P 1.52
O13 0.3453 0.6309 0.8236  1 P 1.52
O14 0.3453 0.8691 0.3236  1 P 1.52
O15 0.4174 0.1977 0.7471  1 B 1.46, 1 P 1.57
O16 0.4174 0.3023 0.2471  1 B 1.46, 1 P 1.57
O17 0.4165 0.5856 0.2746  1 B 1.47, 1 P 1.56
O18 0.4165 0.9144 0.7746  1 B 1.47, 1 P 1.56
O19 0.5835 0.0856 0.2254  1 B 1.47, 1 P 1.56
O20 0.5835 0.4144 0.7254  1 B 1.47, 1 P 1.56
O21 0.5826 0.6977 0.7529  1 B 1.46, 1 P 1.57
O22 0.5826 0.8023 0.2529  1 B 1.46, 1 P 1.57
O23 0.6547 0.1309 0.6764  1 P 1.52
O24 0.6547 0.3691 0.1764  1 P 1.52
O25 0.6603 0.2166 0.9351  1 P 1.52
O26 0.6603 0.2834 0.4351  1 P 1.52
O27 0.6960 0.5359 0.9617  1 H 0.98
O28 0.6960 0.9641 0.4617  1 H 0.98
O29 0.8087 0.5738 0.7647  1 B 1.46, 1 P 1.59
O30 0.8087 0.9262 0.2647  1 B 1.46, 1 P 1.59
O31 0.8974 0.1677 0.1558  1 P 1.53
O32 0.8974 0.3323 0.6558  1 P 1.53
O33 0.9210 0.0160 0.6966  1 P 1.52
O34 0.9206 0.1538 0.4315  1 P 1.53
O35 0.9206 0.3462 0.9315  1 P 1.53
O36 0.9210 0.4840 0.1966  1 P 1.52

## Properties
Crystal system = monoclinic
Density of states at the Fermi level = 0.000 states/eV/atom
Space group = P2_1/c

---

(4)
Computed, not measured: BaIn2Fe at its PBEsol-relaxed geometry at the meta-GGA SCAN level of DFT.

a = 3.4011 Å, b = 3.4011 Å, c = 8.1639 Å
α = 90.00°, β = 90.00°, γ = 90.00°
Last column: nearest neighbours and their distance in Å.
Fractional positions:
Ba1 0.0000 0.0000 0.0000  4 Ba 3.40, 8 In 3.56
In1 0.5000 0.5000 0.3215  4 Fe 2.81, 1 In 2.91
In2 0.5000 0.5000 0.6785  4 Fe 2.81, 1 In 2.91
Fe1 0.0000 0.0000 0.5000  8 In 2.81

## Properties
Crystal system = tetragonal
Density of states at the Fermi level = 0.563 states/eV/atom
DFT formation energy = -10 meV/atom
Space group = P4/mmm

---

(5)
Computed, not measured: ReSeI2O at its PBEsol-relaxed geometry at the meta-GGA SCAN level of DFT.

a = 5.4386 Å, b = 5.4386 Å, c = 3.7387 Å
α = 90.00°, β = 90.00°, γ = 90.00°
Last column: nearest neighbours and their distance in Å.
Fractional positions:
Re1 0.0000 0.0000 0.0000  2 O 1.87
Se1 0.5000 0.5000 0.5000  8 I 3.30
I1 0.0000 0.5000 0.0000  2 Re 2.72
I2 0.5000 0.0000 0.0000  2 Re 2.72
O1 0.0000 0.0000 0.5000  2 Re 1.87

## Properties
Formation energy from raw total energies = 1.0 eV/f.u.
Crystal system = tetragonal
Density of states at the Fermi level = 0.927 states/eV/atom
Space group = P4/mmm

---

(6)
Computed, not measured: PdSe2O5 at its PBEsol-relaxed geometry at the meta-GGA SCAN level of DFT.

a = 6.6868 Å, b = 6.6868 Å, c = 7.0626 Å
α = 105.81°, β = 105.81°, γ = 50.23°
Last column: nearest neighbours and their distance in Å.
Fractional positions:
Pd1 0.0000 0.0000 0.0000  4 O 2.01
Pd2 0.0000 0.0000 0.5000  4 O 2.01
Se1 0.2645 0.4539 0.6799  3 O 1.70-1.81
Se2 0.4539 0.2645 0.1799  3 O 1.70-1.81
Se3 0.5461 0.7355 0.8201  3 O 1.70-1.81
Se4 0.7355 0.5461 0.3201  3 O 1.70-1.81
O1 0.0965 0.6447 0.8784  1 Se 1.70
O2 0.0973 0.6438 0.4897  1 Se 1.72
O3 0.3553 0.9035 0.6216  1 Se 1.70
O4 0.3562 0.9027 0.0103  1 Se 1.72
O5 0.4543 0.5457 0.2500  2 Se 1.81
O6 0.5457 0.4543 0.7500  2 Se 1.81
O7 0.6438 0.0973 0.9897  1 Se 1.72
O8 0.6447 0.0965 0.3784  1 Se 1.70
O9 0.9027 0.3562 0.5103  1 Se 1.72
O10 0.9035 0.3553 0.1216  1 Se 1.70

## Properties
Formation energy from raw total energies = -6.1 eV/f.u.
Crystal system = monoclinic
Space group = C2/c

---

(7)
Computed, not measured: ScTlMo2O8 at its PBEsol-relaxed geometry at the meta-GGA SCAN level of DFT.

a = 5.8039 Å, b = 5.8039 Å, c = 7.2848 Å
α = 90.00°, β = 90.00°, γ = 120.00°
Last column: nearest neighbours and their distance in Å.
Fractional positions:
Sc1 0.0000 0.0000 0.0000  6 O 2.08
Tl1 0.0000 0.0000 0.5000  6 O 2.91
Mo1 0.3333 0.6667 0.7507  4 O 1.72-1.78
Mo2 0.6667 0.3333 0.2493  4 O 1.72-1.78
O1 0.1655 0.3311 0.8283  1 Mo 1.78
O2 0.1655 0.8345 0.8283  1 Mo 1.78
O3 0.3311 0.1655 0.1717  1 Mo 1.78
O4 0.3333 0.6667 0.5150  1 Mo 1.72
O5 0.6667 0.3333 0.4850  1 Mo 1.72
O6 0.6689 0.8345 0.8283  1 Mo 1.78
O7 0.8345 0.1655 0.1717  1 Mo 1.78
O8 0.8345 0.6689 0.1717  1 Mo 1.78

## Properties
Formation energy from raw total energies = -28.8 eV/f.u.
Crystal system = trigonal
Density of states at the Fermi level = 0.000 states/eV/atom
Space group = P-3m1

---

(8)
Computed, not measured: LiGe3Te at its PBEsol-relaxed geometry at the meta-GGA SCAN level of DFT.

a = 4.6762 Å, b = 4.6762 Å, c = 4.6762 Å
α = 90.00°, β = 90.00°, γ = 90.00°
Last column: nearest neighbours and their distance in Å.
Fractional positions:
Li1 0.0000 0.0000 0.0000  6 Ge 2.34
Ge1 0.0000 0.0000 0.5000  2 Li 2.34
Ge2 0.0000 0.5000 0.0000  2 Li 2.34
Ge3 0.5000 0.0000 0.0000  2 Li 2.34
Te1 0.5000 0.5000 0.5000  12 Ge 3.31

## Properties
Formation energy from raw total energies = 2.4 eV/f.u.
Crystal system = cubic
Density of states at the Fermi level = 0.553 states/eV/atom
Space group = Pm-3m

---

Number 1: DFT total energy -32.613 eV/atom. Number 2: DFT total energy -27.447 eV/atom. Number 3: DFT total energy -10.354 eV/atom. Number 4: DFT total energy -31.123 eV/atom. Number 5: DFT total energy -33.971 eV/atom. Number 6: DFT total energy -13.769 eV/atom. Number 7: DFT total energy -19.584 eV/atom. Number 8: DFT total energy -18.892 eV/atom.